AcErAl | PBE | relaxed

Properties
* magnetization: 0.00 μB per formula unit
* uncorrected energy: -12.59 eV/cell
* calculated formation energy: -0.060 eV/atom

```
3
Lattice="5.227 0.000 0.000 -2.613 4.526 0.000 0.000 0.000 4.027" Properties=species:S:1:pos:R:3 pbc="T T T"
Ac 0.000 0.000 0.000
Er 0.000 3.018 1.956
Al 2.613 1.509 2.151
```



TaNbCu2Sn | PBE | relaxed

Properties
* magnetization: 0.00 μB per formula unit
* uncorrected energy: -27.12 eV/cell
* calculated formation energy: 1.400 eV/atom

```
5
Lattice="4.542 0.000 0.000 0.000 4.542 0.000 0.000 0.000 5.194" Properties=species:S:1:pos:R:3 pbc="T T T"
Ta 0.000 0.000 0.000
Nb 2.271 2.271 0.000
Cu 0.000 2.271 2.597
Cu 2.271 0.000 2.597
Sn 0.000 0.000 2.597
```



CaLaS3 | PBE | relaxed

Properties
* magnetization: 0.58 μB per formula unit
* uncorrected energy: -25.04 eV/cell

```
5
Lattice="5.417 0.000 0.000 0.000 5.417 0.000 0.000 0.000 5.417" Properties=species:S:1:pos:R:3 pbc="T T T"
Ca 0.000 0.000 0.000
La 2.709 2.709 2.709
S 0.000 2.709 2.709
S 2.709 0.000 2.709
S 2.709 2.709 0.000
```



TcPBr | PBE | relaxed

Properties
* magnetization: 1.00 μB per formula unit
* uncorrected energy: -17.50 eV/cell

```
3
Lattice="3.608 0.000 0.000 -1.804 3.125 0.000 0.000 0.000 6.279" Properties=species:S:1:pos:R:3 pbc="T T T"
Tc 0.000 0.000 0.000
P 0.000 2.083 5.343
Br 1.804 1.042 1.877
```



RbBa2AsRh | PBE | relaxed

Properties
* magnetization: 0.00 μB per formula unit
* uncorrected energy: -17.11 eV/cell
* calculated formation energy: -0.058 eV/atom

```
5
Lattice="5.795 0.000 0.000 0.000 5.795 0.000 0.000 0.000 5.597" Properties=species:S:1:pos:R:3 pbc="T T T"
Rb 0.000 0.000 0.000
Ba 0.000 2.897 2.799
Ba 2.897 0.000 2.799
As 2.897 2.897 0.000
Rh 0.000 0.000 2.799
```



YSnH2Ru | PBE | relaxed

Properties
* magnetization: 0.27 μB per formula unit
* uncorrected energy: -23.78 eV/cell

```
5
Lattice="4.106 0.000 0.000 0.000 4.106 0.000 0.000 0.000 5.189" Properties=species:S:1:pos:R:3 pbc="T T T"
Y 0.000 0.000 0.000
Sn 2.053 2.053 0.000
H 0.000 2.053 2.594
H 2.053 0.000 2.594
Ru 0.000 0.000 2.594
```



Tb4Er3Te2 | PBE | relaxed

Properties
* magnetization: 0.00 μB per formula unit
* uncorrected energy: -43.26 eV/cell

```
9
Lattice="8.833 -1.912 0.000 8.833 1.912 0.000 -5.061 0.000 8.010" Properties=species:S:1:pos:R:3 pbc="T T T"
Tb -1.004 0.000 3.062
Tb 1.732 0.000 5.405
Tb 10.874 0.000 2.605
Tb 13.610 0.000 4.948
Er 4.956 0.000 1.948
Er 8.833 0.000 0.000
Er 7.649 0.000 6.063
Te 2.454 0.000 0.040
Te 10.152 0.000 7.970
```



TmHf2H8 | PBE | relaxed

Properties
* magnetization: 0.00 μB per formula unit
* uncorrected energy: -55.41 eV/cell

```
11
Lattice="-1.581 2.820 4.779 1.581 -2.820 4.779 1.581 2.820 -4.779" Properties=species:S:1:pos:R:3 pbc="T T T"
Tm 0.000 0.000 0.000
Hf 0.000 0.000 3.146
Hf 0.000 0.000 6.412
H 1.581 -1.335 3.201
H 1.581 0.000 1.685
H 1.581 1.565 0.000
H 0.000 1.485 1.578
H 1.581 1.335 3.201
H 0.000 1.255 4.779
H 0.000 2.820 3.094
H 0.000 4.154 1.578
```



CeHoCdPt | PBE | relaxed

Properties
* magnetization: 0.88 μB per formula unit
* uncorrected energy: -19.84 eV/cell
* calculated formation energy: -0.594 eV/atom

```
4
Lattice="0.000 3.641 3.641 3.641 0.000 3.641 3.641 3.641 0.000" Properties=species:S:1:pos:R:3 pbc="T T T"
Ce 0.000 0.000 0.000
Ho 3.641 3.641 3.641
Cd 5.461 5.461 5.461
Pt 1.820 1.820 1.820
```



Pm2NbAlO8 | PBE | relaxed

Properties
* magnetization: 2.00 μB per formula unit
* uncorrected energy: -91.31 eV/cell

```
12
Lattice="6.491 0.000 0.000 -3.245 5.621 0.000 0.000 0.000 5.092" Properties=species:S:1:pos:R:3 pbc="T T T"
Pm 0.000 3.747 1.154
Pm 3.245 1.874 3.938
Nb 0.000 0.000 2.546
Al 0.000 0.000 0.000
O 0.000 1.498 1.210
O -1.948 4.872 1.210
O 1.297 0.749 3.882
O 0.000 3.747 3.732
O 3.245 1.874 1.360
O 1.948 4.872 1.210
O 5.193 0.749 3.882
O 3.245 4.123 3.882
```



TaRh2Cl | PBE | relaxed

Properties
* magnetization: 0.00 μB per formula unit
* uncorrected energy: -26.92 eV/cell

```
4
Lattice="4.697 0.000 0.000 0.000 4.697 0.000 0.000 0.000 2.931" Properties=species:S:1:pos:R:3 pbc="T T T"
Ta 0.000 0.000 0.000
Rh 0.000 2.348 1.465
Rh 2.348 0.000 1.465
Cl 2.348 2.348 0.000
```



NpV4W | PBE | relaxed

Properties
* magnetization: 2.88 μB per formula unit
* uncorrected energy: -60.41 eV/cell
* calculated formation energy: 0.326 eV/atom

```
6
Lattice="0.000 3.592 3.592 3.592 0.000 3.592 3.592 3.592 0.000" Properties=species:S:1:pos:R:3 pbc="T T T"
Np 0.000 0.000 0.000
V 2.694 2.694 2.694
V 4.490 4.490 2.694
V 4.490 2.694 4.490
V 2.694 4.490 4.490
W 5.388 5.388 5.388
```